Density functional theory data (PBE-GGA) for crystalline Rb3GeBi2 at its relaxed geometry.

## Properties
space-group type: Pnma, No. 62
formation energy from the elements: -225 meV per atom

Unit cell a=5.2290 b=14.9877 c=14.3234 alpha=90.00 beta=90.00 gamma=90.00
Last column: nearest neighbours and their distance in Å.
Atoms (fractional coordinates):
Bi  0.2500  0.6857  0.4313  2 Ge 2.91
Rb  0.2500  0.4402  0.3852  5 Bi 3.74-4.16, 3 Ge 3.85-3.95
Bi  0.7500  0.1857  0.0687  2 Ge 2.91
Rb  0.7500  0.9402  0.1148  5 Bi 3.74-4.16, 3 Ge 3.85-3.95
Bi  0.7500  0.9771  0.7096  1 Ge 2.72
Rb  0.2500  0.1129  0.5760  4 Bi 3.83-3.99, 1 Ge 3.88
Bi  0.2500  0.8143  0.9313  2 Ge 2.91
Rb  0.7500  0.5598  0.6148  5 Bi 3.74-4.16, 3 Ge 3.85-3.95
Rb  0.2500  0.6983  0.1747  4 Bi 3.68-3.90, 2 Ge 3.82
Bi  0.7500  0.5229  0.2096  1 Ge 2.72
Rb  0.2500  0.0598  0.8852  5 Bi 3.74-4.16, 3 Ge 3.85-3.95
Rb  0.2500  0.3871  0.0760  4 Bi 3.83-3.99, 1 Ge 3.88
Bi  0.2500  0.0229  0.2904  1 Ge 2.72
Ge  0.2500  0.3642  0.6420  3 Bi 2.72-2.91
Ge  0.7500  0.8642  0.8580  3 Bi 2.72-2.91
Ge  0.2500  0.1358  0.1420  3 Bi 2.72-2.91
Bi  0.7500  0.3143  0.5687  2 Ge 2.91
Rb  0.2500  0.8017  0.6747  4 Bi 3.68-3.90, 2 Ge 3.82
Bi  0.2500  0.4771  0.7904  1 Ge 2.72
Rb  0.7500  0.3017  0.8253  4 Bi 3.68-3.90, 2 Ge 3.82
Rb  0.7500  0.8871  0.4240  4 Bi 3.83-3.99, 1 Ge 3.88
Rb  0.7500  0.1983  0.3253  4 Bi 3.68-3.90, 2 Ge 3.82
Rb  0.7500  0.6129  0.9240  4 Bi 3.83-3.99, 1 Ge 3.88
Ge  0.7500  0.6358  0.3580  3 Bi 2.72-2.91

***

Density functional theory data (PBE-GGA) for crystalline Y2TaSi at its relaxed geometry.

## Properties
space-group type: Cm, No. 8
ΔE_f (raw): -0.062 eV/atom

Unit cell a=5.8390 b=5.8390 c=5.3435 alpha=73.20 beta=73.20 gamma=31.63
Last column: nearest neighbours and their distance in Å.
Atoms (fractional coordinates):
Y  0.9794  0.9794  0.0431  4 Si 3.08-3.24, 3 Ta 3.09-3.29, 3 Y 3.18-3.36
Y  0.7791  0.7791  0.6861  3 Si 3.13-3.15, 4 Ta 3.13-3.25, 4 Y 3.18-3.50
Si  0.5304  0.5304  0.5282  2 Ta 2.67
Ta  0.2111  0.2111  0.2426  2 Si 2.67

***

Density functional theory data (PBE-GGA) for crystalline Y2Al3Ag at its relaxed geometry.

## Properties
space-group type: Fmmm, No. 69
formation energy from the elements: -466 meV per atom

Unit cell a=5.8100 b=5.8100 c=8.7064 alpha=104.82 beta=104.82 gamma=103.50
Last column: nearest neighbours and their distance in Å.
Atoms (fractional coordinates):
Y  0.7475  0.7475  0.0000  10 Al 3.18-3.20, 2 Ag 3.20
Al  0.1657  0.1657  0.3313  2 Al 2.63, 1 Ag 2.64
Al  0.1671  0.6668  0.8338  2 Al 2.63-2.64, 1 Ag 2.65
Al  0.6668  0.1671  0.8338  2 Al 2.63-2.64, 1 Ag 2.65
Al  0.3332  0.8329  0.1662  2 Al 2.63-2.64, 1 Ag 2.65
Y  0.2500  0.7500  0.5000  4 Ag 3.18, 8 Al 3.20
Al  0.8329  0.3332  0.1662  2 Al 2.63-2.64, 1 Ag 2.65
Y  0.2525  0.2525  0.0000  10 Al 3.18-3.20, 2 Ag 3.20
Al  0.8343  0.8343  0.6687  2 Al 2.63, 1 Ag 2.64
Y  0.7500  0.2500  0.5000  4 Ag 3.18, 8 Al 3.20
Ag  0.6679  0.6679  0.3358  3 Al 2.64-2.65
Ag  0.3321  0.3321  0.6642  3 Al 2.64-2.65

***

Density functional theory data (PBE-GGA) for crystalline TbDy2Th at its relaxed geometry.

## Properties
space-group type: Fm-3m, No. 225
formation energy from the elements: 157 meV per atom

Unit cell a=5.6670 b=5.6670 c=5.6670 alpha=60.00 beta=60.00 gamma=60.00
Last column: nearest neighbours and their distance in Å.
Atoms (fractional coordinates):
Dy  0.7500  0.7500  0.7500  4 Tb 3.47, 4 Th 3.47
Tb  0.5000  0.5000  0.5000  8 Dy 3.47
Th  0.0000  0.0000  0.0000  8 Dy 3.47
Dy  0.2500  0.2500  0.2500  4 Tb 3.47, 4 Th 3.47

***

Density functional theory data (PBE-GGA) for crystalline Sc2AlSb at its relaxed geometry.

## Properties
space-group type: Cmmm, No. 65
ΔE_f (raw): -0.479 eV/atom

Unit cell a=7.0792 b=5.2470 c=3.2237 alpha=90.00 beta=62.91 gamma=122.32
Last column: nearest neighbours and their distance in Å.
Atoms (fractional coordinates):
Al  0.0000  0.5000  0.5000  8 Sc 3.08, 2 Sb 3.15, 2 Al 3.22
Sb  0.5000  0.5000  0.0000  8 Sc 3.08, 2 Al 3.15, 2 Sb 3.22
Sc  0.0000  0.0000  0.0000  4 Sb 3.08, 4 Al 3.08, 4 Sc 3.15-3.22
Sc  0.5000  0.0000  0.5000  4 Al 3.08, 4 Sb 3.08, 4 Sc 3.15-3.22

***

Density functional theory data (PBE-GGA) for crystalline Na10B13C7 at its relaxed geometry.

## Properties
space-group type: P1, No. 1
formation energy from the elements: 114 meV per atom

Unit cell a=7.6667 b=7.6639 c=10.3200 alpha=122.12 beta=122.13 gamma=37.72
Last column: nearest neighbours and their distance in Å.
Atoms (fractional coordinates):
B  0.6203  0.9820  0.7500  3 B 1.67-1.85
B  0.2187  0.5793  0.7504  3 B 1.66-1.85
C  0.3654  0.0310  0.2491  3 B 1.64-1.65
B  0.7623  0.4375  0.7497  3 C 1.60-1.66
B  0.2424  0.5694  0.2504  2 C 1.63-1.64, 1 B 1.75
C  0.5689  0.2343  0.2507  3 B 1.64-1.65
C  0.8326  0.1769  0.7497  3 B 1.56-1.67
Na  0.6006  0.6009  0.0027  4 C 2.67-2.74, 8 B 2.69-2.75, 6 Na 2.86-2.91
B  0.8350  0.1656  0.2509  3 C 1.62-1.67
Na  0.8014  0.8016  0.0029  4 C 2.68-2.74, 8 B 2.69-2.76, 6 Na 2.86-2.91
C  0.4279  0.7721  0.7498  3 B 1.59-1.66
Na  0.9999  0.0020  0.0016  8 B 2.63-2.82, 4 C 2.67-2.76, 6 Na 2.86-2.90
B  0.1698  0.8415  0.7500  2 C 1.59-1.67, 1 B 1.73
B  0.6004  0.2147  0.7498  1 C 1.56, 1 B 1.67
Na  0.1986  0.2008  0.4986  8 B 2.63-2.82, 4 C 2.67-2.76, 6 Na 2.87-2.91
Na  0.3993  0.3975  0.4968  8 B 2.63-2.76, 4 C 2.70-2.74, 6 Na 2.86-2.90
Na  0.9985  0.9983  0.4961  5 C 2.67-2.71, 7 B 2.67-2.74, 6 Na 2.87-2.91
B  0.9676  0.6318  0.2493  3 B 1.74-1.75
B  0.4349  0.7653  0.2502  3 C 1.63-1.67
Na  0.5992  0.6003  0.4997  7 B 2.66-2.74, 5 C 2.67-2.72, 6 Na 2.87-2.90
B  0.9851  0.6006  0.7501  1 C 1.57, 1 B 1.66
Na  0.2026  0.2004  0.0037  7 B 2.62-2.74, 5 C 2.69-2.71, 6 Na 2.87-2.90
B  0.6167  0.9827  0.2496  2 C 1.65, 1 B 1.74
B  0.3580  0.0308  0.7499  2 C 1.59-1.67, 1 B 1.73
B  0.0306  0.3572  0.2493  2 C 1.63-1.64, 1 B 1.75
C  0.1749  0.8317  0.2511  3 B 1.63-1.67
C  0.0223  0.3676  0.7495  3 B 1.57-1.67
C  0.7688  0.4256  0.2503  3 B 1.62-1.67
Na  0.7979  0.7989  0.4961  9 B 2.65-2.83, 3 C 2.68-2.78, 6 Na 2.86-2.90
Na  0.3994  0.4013  0.0018  8 B 2.63-2.83, 4 C 2.68-2.77, 6 Na 2.86-2.90

***

Density functional theory data (PBE-GGA) for crystalline NiSb2P at its relaxed geometry.

## Properties
space-group type: Cmmm, No. 65
ΔE_f (raw): 0.402 eV/atom

Unit cell a=4.7551 b=4.7551 c=3.4210 alpha=90.00 beta=90.00 gamma=96.24
Last column: nearest neighbours and their distance in Å.
Atoms (fractional coordinates):
P  0.5000  0.5000  0.5000  8 Sb 2.93, 2 Ni 3.17
Ni  0.0000  0.0000  0.5000  8 Sb 2.93, 2 P 3.17
Sb  0.5000  0.0000  0.0000  4 P 2.93, 4 Ni 2.93, 2 Sb 3.17
Sb  0.0000  0.5000  0.0000  4 P 2.93, 4 Ni 2.93, 2 Sb 3.17

***

Density functional theory data (PBE-GGA) for crystalline ZrAgSb2 at its relaxed geometry.

## Properties
space-group type: R-3m, No. 166
ΔE_f (raw): -0.134 eV/atom

Unit cell a=9.4978 b=9.4978 c=9.4978 alpha=20.64 beta=20.64 gamma=20.64
Last column: nearest neighbours and their distance in Å.
Atoms (fractional coordinates):
Zr  0.2500  0.2500  0.2500  6 Sb 3.04
Ag  0.7500  0.7500  0.7500  6 Sb 3.05, 6 Ag 3.40
Sb  0.9998  0.9998  0.9998  3 Zr 3.04, 3 Ag 3.05
Sb  0.5002  0.5002  0.5002  3 Zr 3.04, 3 Ag 3.05

***

Density functional theory data (PBE-GGA) for crystalline ThZrCu2 at its relaxed geometry.

## Properties
space-group type: Fm-3m, No. 225
formation energy from the elements: -22 meV per atom

Unit cell a=4.8695 b=4.8695 c=4.8695 alpha=60.00 beta=60.00 gamma=60.00
Last column: nearest neighbours and their distance in Å.
Atoms (fractional coordinates):
Cu  0.7500  0.7500  0.7500  4 Zr 2.98, 4 Th 2.98
Cu  0.2500  0.2500  0.2500  4 Zr 2.98, 4 Th 2.98
Th  0.0000  0.0000  0.0000  8 Cu 2.98
Zr  0.5000  0.5000  0.5000  8 Cu 2.98

***

Density functional theory data (PBE-GGA) for crystalline Sc2CoAu at its relaxed geometry.

## Properties
space-group type: R3m, No. 160
formation energy from the elements: 29 meV per atom

Unit cell a=8.8985 b=8.8985 c=8.8985 alpha=20.85 beta=20.85 gamma=20.85
Last column: nearest neighbours and their distance in Å.
Atoms (fractional coordinates):
Sc  0.0161  0.0161  0.0161  3 Co 2.56
Au  0.4930  0.4930  0.4930  3 Co 2.72, 3 Sc 2.81
Sc  0.2406  0.2406  0.2406  3 Au 2.81
Co  0.7503  0.7503  0.7503  3 Sc 2.56, 3 Au 2.72

***

Density functional theory data (PBE-GGA) for crystalline LaZn2Re at its relaxed geometry.

## Properties
space-group type: Cm, No. 8
formation energy from the elements: 343 meV per atom

Unit cell a=4.6836 b=4.6836 c=6.2682 alpha=82.83 beta=82.83 gamma=35.86
Last column: nearest neighbours and their distance in Å.
Atoms (fractional coordinates):
Zn  0.0041  0.0041  0.0109  5 Zn 2.66-2.88, 3 Re 2.67-2.68
Re  0.2657  0.2657  0.1778  5 Zn 2.66-2.68, 2 Re 2.88, 1 La 2.96
La  0.4924  0.4924  0.4823  2 La 2.88, 1 Re 2.96
Zn  0.7377  0.7377  0.8290  2 Re 2.66, 5 Zn 2.66-2.88

***

Density functional theory data (PBE-GGA) for crystalline LaTmAlIn at its relaxed geometry.

## Properties
space-group type: F-43m, No. 216
formation energy from the elements: -404 meV per atom

Unit cell a=5.3205 b=5.3205 c=5.3205 alpha=60.00 beta=60.00 gamma=60.00
Last column: nearest neighbours and their distance in Å.
Atoms (fractional coordinates):
Tm  0.0000  0.0000  0.0000  4 In 3.26, 4 Al 3.26
La  0.5000  0.5000  0.5000  4 In 3.26, 4 Al 3.26
Al  0.7500  0.7500  0.7500  4 La 3.26, 4 Tm 3.26
In  0.2500  0.2500  0.2500  4 La 3.26, 4 Tm 3.26

***

no.,total energy (eV per atom)
1,-2.772
2,-7.613
3,-4.967
4,-5.156
5,-5.611
6,-5.372
7,-4.457
8,-5.045
9,-6.062
10,-5.733
11,-4.638
12,-4.374